{
  "formula": "NdTeAsO",
  "functional": "PBE",
  "state": "relaxed",
  "cell": [[-4.9599, -2.5157, -2.0126], [0.9325, -5.4409, 4.5030], [-3.1812, 2.9213, 4.1885]],
  "species": ["Nd", "Nd", "O", "O", "Te", "Te", "As", "As"],
  "frac_coords": [[0.5000, 0.1929, 0.4922], [0.5000, 0.8071, 0.9922], [0.5000, 0.0544, 0.8016], [0.5000, 0.9456, 0.3016], [0.0000, 0.3239, 0.9873], [0.0000, 0.6761, 0.4873], [0.0000, 0.3136, 0.4730], [0.0000, 0.6864, 0.9730]],
  "crystal_system": "orthorhombic",
  "dft_energy_ev_per_atom": -5.63
}

=====

{
  "formula": "BeNbAgPt",
  "functional": "PBE",
  "state": "relaxed",
  "cell": [[0.0000, 3.1342, 3.1342], [3.1342, 0.0000, 3.1342], [3.1342, 3.1342, 0.0000]],
  "species": ["Pt", "Nb", "Ag", "Be"],
  "frac_coords": [[0.5000, 0.5000, 0.5000], [0.2500, 0.2500, 0.2500], [0.0000, 0.0000, 0.0000], [0.7500, 0.7500, 0.7500]],
  "crystal_system": "cubic",
  "dft_energy_ev_per_atom": -5.73
}

=====

{
  "formula": "LaZn2InAu",
  "functional": "PBE",
  "state": "relaxed",
  "cell": [[-5.4301, -3.2191, 1.4039], [-5.0189, 2.7693, 2.9935], [4.0325, 1.0366, -4.9481]],
  "species": ["Zn", "Zn", "La", "In", "Au"],
  "frac_coords": [[0.1417, 0.6417, 0.5000], [0.3583, 0.8583, 0.5000], [0.7500, 0.2500, 0.5000], [0.5000, 0.5000, 0.0000], [0.0000, 0.0000, 0.0000]],
  "crystal_system": "tetragonal",
  "dft_energy_ev_per_atom": -3.15
}

=====

{
  "formula": "TaSiP4",
  "functional": "PBE",
  "state": "relaxed",
  "cell": [[4.0443, -4.1843, 0.0000], [4.0443, 4.1843, 0.0000], [0.0000, 0.0000, 3.3961]],
  "species": ["P", "P", "P", "P", "Si", "Ta"],
  "frac_coords": [[0.8051, 0.8051, 0.5000], [0.1949, 0.1949, 0.5000], [0.2846, 0.7154, 0.0000], [0.7154, 0.2846, 0.0000], [0.0000, 0.0000, 0.0000], [0.5000, 0.5000, 0.5000]],
  "crystal_system": "orthorhombic",
  "dft_energy_ev_per_atom": -6.32
}

=====

{
  "formula": "ThSnAs",
  "functional": "PBE",
  "state": "relaxed",
  "cell": [[-1.3413, -1.1167, 4.6286], [-2.3551, 3.3541, 2.7701], [-4.7806, -0.6236, 1.1076]],
  "species": ["Th", "As", "Sn"],
  "frac_coords": [[0.7500, 0.7500, 0.7500], [0.0000, 0.0000, 0.0000], [0.2500, 0.2500, 0.2500]],
  "crystal_system": "cubic",
  "dft_energy_ev_per_atom": -5.73
}

=====

{
  "formula": "LaOs2O4",
  "functional": "PBE",
  "state": "relaxed",
  "cell": [[1.6559, 1.8057, -5.9714], [4.5763, -1.3176, 4.3567], [-3.6022, -4.7693, -2.4367]],
  "species": ["O", "O", "O", "O", "O", "O", "O", "O", "Os", "Os", "Os", "Os", "La", "La"],
  "frac_coords": [[0.5578, 0.7052, 0.8527], [0.6027, 0.2052, 0.8078], [0.1473, 0.7052, 0.8525], [0.1473, 0.2948, 0.4422], [0.1475, 0.2948, 0.8527], [0.1922, 0.7948, 0.3973], [0.6027, 0.7948, 0.3975], [0.6025, 0.2052, 0.3973], [0.8750, 0.2500, 0.6250], [0.3750, 0.2500, 0.6250], [0.3750, 0.7500, 0.1250], [0.3750, 0.7500, 0.6250], [0.0000, 0.0000, 0.0000], [0.7500, 0.5000, 0.2500]],
  "crystal_system": "cubic",
  "dft_energy_ev_per_atom": -7.81
}

=====

{
  "formula": "LuTe3PbAu",
  "functional": "PBE",
  "state": "relaxed",
  "cell": [[14.5508, 0.0000, 0.0000], [0.0000, 4.2884, 0.0000], [0.0000, 0.0000, 11.4810]],
  "species": ["Te", "Te", "Te", "Te", "Te", "Te", "Te", "Te", "Te", "Te", "Te", "Te", "Pb", "Pb", "Pb", "Pb", "Lu", "Lu", "Lu", "Lu", "Au", "Au", "Au", "Au"],
  "frac_coords": [[0.8764, 0.2500, 0.1228], [0.6503, 0.7500, 0.2426], [0.3764, 0.2500, 0.3772], [0.6236, 0.7500, 0.6228], [0.1049, 0.2500, 0.5579], [0.1236, 0.7500, 0.8772], [0.1503, 0.7500, 0.2574], [0.6049, 0.2500, 0.9421], [0.8497, 0.2500, 0.7426], [0.3497, 0.2500, 0.7574], [0.3951, 0.7500, 0.0579], [0.8951, 0.7500, 0.4421], [0.2238, 0.2500, 0.0558], [0.7238, 0.2500, 0.4442], [0.7762, 0.7500, 0.9442], [0.2762, 0.7500, 0.5558], [0.0096, 0.2500, 0.3191], [0.9904, 0.7500, 0.6809], [0.4904, 0.7500, 0.8191], [0.5096, 0.2500, 0.1809], [0.9901, 0.2500, 0.9075], [0.5099, 0.7500, 0.4075], [0.4901, 0.2500, 0.5925], [0.0099, 0.7500, 0.0925]],
  "crystal_system": "orthorhombic",
  "dft_energy_ev_per_atom": -4.16
}

=====

{
  "formula": "KGa2Au2",
  "functional": "PBE",
  "state": "relaxed",
  "cell": [[2.0972, 4.3069, 3.7222], [-4.1149, 1.5025, 4.1967], [2.2537, -5.3101, -1.8777]],
  "species": ["Ga", "Ga", "Au", "Au", "K"],
  "frac_coords": [[0.6381, 0.6381, 0.0000], [0.3619, 0.3619, 0.0000], [0.7500, 0.2500, 0.5000], [0.2500, 0.7500, 0.5000], [0.0000, 0.0000, 0.0000]],
  "crystal_system": "tetragonal",
  "dft_energy_ev_per_atom": -3.04
}

=====

{
  "formula": "BaLa2PdO5",
  "functional": "PBE",
  "state": "relaxed",
  "cell": [[6.8682, 0.0000, 0.0000], [0.0000, 6.8682, 0.0000], [0.0000, 0.0000, 5.9416]],
  "species": ["Ba", "Ba", "La", "La", "La", "La", "Pd", "Pd", "O", "O", "O", "O", "O", "O", "O", "O", "O", "O"],
  "frac_coords": [[0.0000, 0.0000, 0.0000], [0.5000, 0.5000, 0.0000], [0.1748, 0.6748, 0.5000], [0.8252, 0.3252, 0.5000], [0.3252, 0.1748, 0.5000], [0.6748, 0.8252, 0.5000], [0.5000, 0.0000, 0.0000], [0.0000, 0.5000, 0.0000], [0.6426, 0.1426, 0.2469], [0.3574, 0.8574, 0.2469], [0.8574, 0.6426, 0.7531], [0.0000, 0.0000, 0.5000], [0.1426, 0.3574, 0.7531], [0.8574, 0.6426, 0.2469], [0.1426, 0.3574, 0.2469], [0.5000, 0.5000, 0.5000], [0.6426, 0.1426, 0.7531], [0.3574, 0.8574, 0.7531]],
  "crystal_system": "tetragonal",
  "dft_energy_ev_per_atom": -7.27
}

=====

{
  "formula": "Lu2NbAs",
  "functional": "PBE",
  "state": "relaxed",
  "cell": [[0.0000, 3.4765, 3.4765], [3.4765, 0.0000, 3.4765], [3.4765, 3.4765, 0.0000]],
  "species": ["Nb", "Lu", "Lu", "As"],
  "frac_coords": [[0.2500, 0.2500, 0.2500], [0.0000, 0.0000, 0.0000], [0.7500, 0.7500, 0.7500], [0.5000, 0.5000, 0.5000]],
  "crystal_system": "cubic",
  "dft_energy_ev_per_atom": -5.90
}